# 1
Material: LaSi2Ru
Method: DFT, PBE
State: relaxed

Values from the calculation:
- raw formation energy (eV/atom) = 0.156
- theoretical density (g/cm3) = 6.6
- M_tot (μB per atom) = 0.000
- SG = R3m (160)

abc: 8.654 8.654 8.654
angles: 21.19 21.19 21.19
Fractional coordinates of all 4 atoms:
La 0.000 0.000 0.000
Si 0.231 0.231 0.231
Si 0.493 0.493 0.493
Ru 0.764 0.764 0.764

---

# 2
Material: TaF
Method: DFT, PBE
State: relaxed

Values from the calculation:
- raw formation energy (eV/atom) = -1.298
- theoretical density (g/cm3) = 11.3
- M_tot (μB per atom) = 0.000
- energy relative to the lowest polymorph listed for this composition (meV/atom) = 364
- SG = I4/m (87)

abc: 6.565 6.565 6.565
angles: 92.74 92.74 154.72
Fractional coordinates of all 8 atoms:
Ta 0.131 0.342 0.474
Ta 0.342 0.869 0.211
Ta 0.658 0.131 0.789
Ta 0.869 0.658 0.526
F 0.299 0.510 0.809
F 0.490 0.299 0.789
F 0.510 0.701 0.211
F 0.701 0.490 0.191

---

# 3
Material: BaCrIr3
Method: DFT, PBE
State: relaxed

Values from the calculation:
- theoretical density (g/cm3) = 9.7
- M_tot (μB per atom) = 1.000
- energy relative to the lowest polymorph listed for this composition (meV/atom) = 2238
- SG = Pm-3m (221)
- energy of formation from the pure elements (eV per atom) = 2.858

abc: 5.087 5.087 5.087
angles: 90.00 90.00 90.00
Fractional coordinates of all 5 atoms:
Ba 0.000 0.000 0.000
Cr 0.500 0.500 0.500
Ir 0.000 0.000 0.500
Ir 0.000 0.500 0.000
Ir 0.500 0.000 0.000

---

# 4
Material: Y8TmS4
Method: DFT, PBE
State: relaxed

Values from the calculation:
- raw formation energy (eV/atom) = -1.174
- theoretical density (g/cm3) = 4.8
- M_tot (μB per atom) = 0.025
- SG = C2/m (12)

abc: 9.542 9.542 12.860
angles: 129.47 129.47 22.99
Fractional coordinates of all 13 atoms:
Y 0.038 0.038 0.241
Y 0.307 0.307 0.431
Y 0.340 0.340 0.180
Y 0.370 0.370 0.907
Y 0.630 0.630 0.093
Y 0.660 0.660 0.820
Y 0.693 0.693 0.569
Y 0.962 0.962 0.759
Tm 0.000 0.000 0.500
S 0.151 0.151 0.963
S 0.328 0.328 0.662
S 0.672 0.672 0.338
S 0.849 0.849 0.037

---

# 5
Material: Pm3Sm2P4
Method: DFT, PBE
State: relaxed

Values from the calculation:
- theoretical density (g/cm3) = 5.9
- M_tot (μB per atom) = 0.000
- SG = C2/m (12)
- energy of formation from the pure elements (eV per atom) = -1.396

abc: 7.102 7.102 10.054
angles: 118.48 118.48 33.59
Fractional coordinates of all 9 atoms:
Pm 0.000 0.000 0.000
Pm 0.202 0.202 0.806
Pm 0.798 0.798 0.194
Sm 0.396 0.396 0.608
Sm 0.604 0.604 0.392
P 0.202 0.202 0.305
P 0.400 0.400 0.102
P 0.600 0.600 0.898
P 0.798 0.798 0.695

---

# 6
Material: LaZnF2
Method: DFT, PBE
State: relaxed

Values from the calculation:
- raw formation energy (eV/atom) = -2.087
- theoretical density (g/cm3) = 5.5
- M_tot (μB per atom) = 0.000
- energy relative to the lowest polymorph listed for this composition (meV/atom) = 192
- SG = R-3m (166)

abc: 8.303 8.303 8.303
angles: 22.35 22.35 22.35
Fractional coordinates of all 4 atoms:
La 0.000 0.000 0.000
Zn 0.500 0.500 0.500
F 0.400 0.400 0.400
F 0.600 0.600 0.600

---

# 7
Material: Sc7CI12
Method: DFT, PBE
State: relaxed

Values from the calculation:
- raw formation energy (eV/atom) = -1.115
- theoretical density (g/cm3) = 4.5
- M_tot (μB per atom) = 0.058
- SG = R3 (146)

abc: 9.451 9.451 9.451
angles: 108.31 108.31 108.31
Fractional coordinates of all 20 atoms:
Sc 0.000 0.000 0.000
Sc 0.260 0.440 0.499
Sc 0.440 0.499 0.260
Sc 0.499 0.260 0.440
Sc 0.565 0.797 0.623
Sc 0.623 0.565 0.797
Sc 0.797 0.623 0.565
C 0.525 0.525 0.525
I 0.073 0.363 0.143
I 0.143 0.073 0.363
I 0.233 0.748 0.599
I 0.308 0.452 0.822
I 0.363 0.143 0.073
I 0.452 0.822 0.308
I 0.599 0.233 0.748
I 0.675 0.910 0.986
I 0.748 0.599 0.233
I 0.822 0.308 0.452
I 0.910 0.986 0.675
I 0.986 0.675 0.910

---

# 8
Material: Pr3SbBr
Method: DFT, PBE
State: relaxed

Values from the calculation:
- raw formation energy (eV/atom) = -0.912
- theoretical density (g/cm3) = 6.2
- M_tot (μB per atom) = 0.000
- SG = P2_1/m (11)

abc: 8.434 4.320 9.150
angles: 90.00 92.46 90.00
Fractional coordinates of all 10 atoms:
Pr 0.115 0.250 0.358
Pr 0.324 0.250 0.986
Pr 0.383 0.750 0.621
Pr 0.617 0.250 0.379
Pr 0.676 0.750 0.014
Pr 0.885 0.750 0.642
Sb 0.368 0.750 0.251
Sb 0.632 0.250 0.749
Br 0.139 0.250 0.692
Br 0.861 0.750 0.308

---

# 9
Material: PmCoOs
Method: DFT, PBE
State: relaxed

Values from the calculation:
- theoretical density (g/cm3) = 10.9
- M_tot (μB per atom) = 0.316
- energy relative to the lowest polymorph listed for this composition (meV/atom) = 138
- SG = P-6m2 (187)
- energy of formation from the pure elements (eV per atom) = 0.012

abc: 4.031 4.031 4.272
angles: 90.00 90.00 120.00
Fractional coordinates of all 3 atoms:
Pm 0.000 0.000 0.000
Co 0.667 0.333 0.500
Os 0.333 0.667 0.500

---

# 10
Material: RePb2Br
Method: DFT, PBE
State: relaxed

Values from the calculation:
- raw formation energy (eV/atom) = 1.079
- theoretical density (g/cm3) = 12.1
- M_tot (μB per atom) = 0.000
- energy relative to the lowest polymorph listed for this composition (meV/atom) = 522
- SG = F-43m (216)

abc: 5.099 5.099 5.099
angles: 60.00 60.00 60.00
Fractional coordinates of all 4 atoms:
Re 0.000 0.000 0.000
Pb 0.250 0.250 0.250
Pb 0.500 0.500 0.500
Br 0.750 0.750 0.750

---

# 11
Material: ZrSi3Au
Method: DFT, PBE
State: relaxed

Values from the calculation:
- raw formation energy (eV/atom) = 1.014
- theoretical density (g/cm3) = 4.8
- M_tot (μB per atom) = 0.000
- energy relative to the lowest polymorph listed for this composition (meV/atom) = 123
- SG = Pm-3m (221)

abc: 5.065 5.065 5.065
angles: 90.00 90.00 90.00
Fractional coordinates of all 5 atoms:
Zr 0.000 0.000 0.000
Si 0.000 0.000 0.500
Si 0.000 0.500 0.000
Si 0.500 0.000 0.000
Au 0.500 0.500 0.500

---

# 12
Material: NaTiIn
Method: DFT, PBE
State: relaxed

Values from the calculation:
- theoretical density (g/cm3) = 4.6
- M_tot (μB per atom) = 0.000
- energy relative to the lowest polymorph listed for this composition (meV/atom) = 131
- SG = Pm (6)
- energy of formation from the pure elements (eV per atom) = 0.087

abc: 5.093 3.164 8.622
angles: 90.00 107.10 90.00
Fractional coordinates of all 6 atoms:
Na 0.000 0.000 0.000
Na 0.492 0.500 0.985
Ti 0.079 0.500 0.361
Ti 0.209 0.000 0.624
In 0.564 0.000 0.328
In 0.726 0.500 0.657